Below is a geometry-optimized YZrNbN3 structure, with properties calculated at the PBE level.

Properties
Space-group type: P2_1/m
N(E_F): 0.362 states/eV/atom
Raw formation energy: -8.9 eV/f.u.

Lattice parameters (Å, degrees): 5.654 3.269 8.440 90.00 102.68 90.00
Fractional coordinates of all 12 atoms:
1 Y 0.147 0.250 0.190
2 Y 0.853 0.750 0.810
3 Zr 0.267 0.750 0.549
4 Zr 0.733 0.250 0.451
5 Nb 0.375 0.250 0.868
6 Nb 0.625 0.750 0.132
7 N 0.057 0.250 0.662
8 N 0.241 0.750 0.992
9 N 0.458 0.750 0.343
10 N 0.542 0.250 0.657
11 N 0.759 0.250 0.008
12 N 0.943 0.750 0.338